Density functional theory data (PBE-GGA) for a relaxed structure of Ta5Te.

Cell lengths 7.2773, 7.2773, 3.5030 Å; angles 90.00, 90.00, 142.84 degrees
Element x y z (fractional)
Ta: 0.0000 0.0000 0.0000
Ta: 0.1654 0.8346 0.5000
Ta: 0.3276 0.6724 0.0000
Ta: 0.6724 0.3276 0.0000
Ta: 0.8346 0.1654 0.5000
Te: 0.5000 0.5000 0.5000

Properties
ΔE to the lowest computed polymorph ... 0.0000 eV/atom
ΔE_f (raw) ... 56 meV/atom
Symmetry ... No. 65
Total moment ... 0.00 μB/cell



Density functional theory data (PBE-GGA) for a relaxed structure of LiCaPt2.

Cell lengths 3.0674, 3.0674, 7.1149 Å; angles 90.00, 90.00, 90.00 degrees
Element x y z (fractional)
Li: 0.0000 0.0000 0.0000
Ca: 0.0000 0.0000 0.5000
Pt: 0.5000 0.5000 0.2130
Pt: 0.5000 0.5000 0.7870

Properties
ΔE to the lowest computed polymorph ... 0.0151 eV/atom
DFT formation energy ... -249 kJ/mol of formula units
Symmetry ... No. 123
Total moment ... 0.00 μB/cell



Density functional theory data (PBE-GGA) for a relaxed structure of ReSiP2.

Cell lengths 3.2926, 4.3157, 4.1406 Å; angles 90.00, 94.16, 90.00 degrees
Element x y z (fractional)
Re: 0.0000 0.0000 0.0000
Si: 0.5000 0.0000 0.5000
P: 0.1495 0.5000 0.2725
P: 0.8505 0.5000 0.7275

Properties
ΔE_f (raw) ... 271 meV/atom
Symmetry ... No. 10
Total moment ... 0.00 μB/cell



Density functional theory data (PBE-GGA) for a relaxed structure of TbNpPt2.

Cell lengths 6.9415, 6.9415, 6.9415 Å; angles 34.44, 34.44, 34.44 degrees
Element x y z (fractional)
Tb: 0.0000 0.0000 0.0000
Np: 0.5000 0.5000 0.5000
Pt: 0.2456 0.2456 0.2456
Pt: 0.7544 0.7544 0.7544

Properties
ΔE to the lowest computed polymorph ... 0.0301 eV/atom
DFT formation energy ... -292 kJ/mol of formula units
Symmetry ... No. 166
Total moment ... 3.63 μB/cell



Density functional theory data (PBE-GGA) for a relaxed structure of Ba2GaTe5.

Cell lengths 7.2878, 7.2878, 7.2878 Å; angles 111.67, 111.67, 105.15 degrees
Element x y z (fractional)
Ba: 0.0000 0.5000 0.5000
Ba: 0.5000 0.0000 0.5000
Ga: 0.3426 0.3426 0.0000
Te: 0.0103 0.0103 0.5246
Te: 0.0103 0.4856 0.0000
Te: 0.4856 0.0103 0.0000
Te: 0.4856 0.4856 0.4754
Te: 0.6988 0.6988 0.0000

Properties
ΔE_f (raw) ... -875 meV/atom
Symmetry ... No. 107
Total moment ... 0.00 μB/cell



Density functional theory data (PBE-GGA) for a relaxed structure of PmDy6Tl3.

Cell lengths 10.1684, 5.2064, 11.3848 Å; angles 90.00, 100.85, 90.00 degrees
Element x y z (fractional)
Pm: 0.0444 0.2500 0.4046
Pm: 0.9556 0.7500 0.5954
Dy: 0.0875 0.7500 0.9062
Dy: 0.1326 0.7500 0.2210
Dy: 0.1897 0.2500 0.7228
Dy: 0.2756 0.7500 0.5178
Dy: 0.3550 0.2500 0.3170
Dy: 0.4412 0.7500 0.0933
Dy: 0.5588 0.2500 0.9067
Dy: 0.6450 0.7500 0.6830
Dy: 0.7244 0.2500 0.4822
Dy: 0.8103 0.7500 0.2772
Dy: 0.8674 0.2500 0.7790
Dy: 0.9125 0.2500 0.0938
Tl: 0.2289 0.2500 0.0392
Tl: 0.3721 0.7500 0.8097
Tl: 0.4634 0.2500 0.6124
Tl: 0.5366 0.7500 0.3876
Tl: 0.6279 0.2500 0.1903
Tl: 0.7711 0.7500 0.9608

Properties
DFT formation energy ... -186 kJ/mol of formula units
Symmetry ... No. 11
Total moment ... 0.00 μB/cell



Density functional theory data (PBE-GGA) for a relaxed structure of HfCuS2N.

Cell lengths 4.9700, 4.9700, 4.0739 Å; angles 90.00, 90.00, 90.00 degrees
Element x y z (fractional)
Hf: 0.0000 0.0000 0.0000
Cu: 0.5000 0.5000 0.5000
S: 0.0000 0.5000 0.0000
S: 0.5000 0.0000 0.0000
N: 0.0000 0.0000 0.5000

Properties
ΔE to the lowest computed polymorph ... 0.0000 eV/atom
ΔE_f (raw) ... 156 meV/atom
Symmetry ... No. 123
Total moment ... 0.00 μB/cell



Density functional theory data (PBE-GGA) for a relaxed structure of Sr3AuF.

Cell lengths 8.9190, 4.4325, 9.4658 Å; angles 90.00, 110.61, 90.00 degrees
Element x y z (fractional)
Sr: 0.0624 0.2500 0.1821
Sr: 0.2032 0.7500 0.5784
Sr: 0.4099 0.7500 0.1164
Sr: 0.5901 0.2500 0.8836
Sr: 0.7968 0.2500 0.4216
Sr: 0.9376 0.7500 0.8179
Au: 0.2172 0.2500 0.8826
Au: 0.7828 0.7500 0.1174
F: 0.0893 0.2500 0.4521
F: 0.9107 0.7500 0.5479

Properties
ΔE to the lowest computed polymorph ... 0.0000 eV/atom
ΔE_f (raw) ... -1447 meV/atom
Symmetry ... No. 11
Total moment ... 0.00 μB/cell



Density functional theory data (PBE-GGA) for a relaxed structure of Sc2GeBr.

Cell lengths 8.1092, 8.1092, 8.1092 Å; angles 29.66, 29.66, 29.66 degrees
Element x y z (fractional)
Sc: 0.1137 0.1137 0.1137
Sc: 0.8863 0.8863 0.8863
Ge: 0.5000 0.5000 0.5000
Br: 0.0000 0.0000 0.0000

Properties
ΔE to the lowest computed polymorph ... 0.0000 eV/atom
ΔE_f (raw) ... -836 meV/atom
Symmetry ... No. 166
Total moment ... 0.00 μB/cell



Density functional theory data (PBE-GGA) for a relaxed structure of TbPr2Ho2Mg5.

Cell lengths 10.6440, 10.6440, 5.0952 Å; angles 90.00, 90.00, 90.00 degrees
Element x y z (fractional)
Tb: 0.0000 0.0000 0.0000
Tb: 0.5000 0.5000 0.0000
Pr: 0.1761 0.3239 0.0000
Pr: 0.3239 0.8239 0.0000
Pr: 0.6761 0.1761 0.0000
Pr: 0.8239 0.6761 0.0000
Ho: 0.1206 0.6206 0.0000
Ho: 0.3794 0.1206 0.0000
Ho: 0.6206 0.8794 0.0000
Ho: 0.8794 0.3794 0.0000
Mg: 0.0000 0.5000 0.5000
Mg: 0.0735 0.8033 0.5000
Mg: 0.1967 0.0735 0.5000
Mg: 0.3033 0.5735 0.5000
Mg: 0.4265 0.3033 0.5000
Mg: 0.5000 0.0000 0.5000
Mg: 0.5735 0.6967 0.5000
Mg: 0.6967 0.4265 0.5000
Mg: 0.8033 0.9265 0.5000
Mg: 0.9265 0.1967 0.5000

Properties
DFT formation energy ... 24 kJ/mol of formula units
Symmetry ... No. 127
Total moment ... 0.00 μB/cell



Density functional theory data (PBE-GGA) for a relaxed structure of HoTm3Hg2.

Cell lengths 5.0471, 9.1179, 6.9797 Å; angles 90.00, 90.00, 90.00 degrees
Element x y z (fractional)
Ho: 0.0000 0.0546 0.0000
Ho: 0.0000 0.9454 0.5000
Tm: 0.0000 0.3258 0.6537
Tm: 0.0000 0.6742 0.1537
Tm: 0.5000 0.1764 0.3148
Tm: 0.5000 0.4452 0.9679
Tm: 0.5000 0.5548 0.4679
Tm: 0.5000 0.8236 0.8148
Hg: 0.0000 0.3511 0.2216
Hg: 0.0000 0.6489 0.7216
Hg: 0.5000 0.1493 0.7465
Hg: 0.5000 0.8507 0.2465

Properties
ΔE to the lowest computed polymorph ... 0.0000 eV/atom
DFT formation energy ... -212 kJ/mol of formula units
Symmetry ... No. 26
Total moment ... 0.00 μB/cell



Density functional theory data (PBE-GGA) for a relaxed structure of CsBaCa2.

Cell lengths 4.8337, 4.8337, 10.5145 Å; angles 90.00, 90.00, 90.00 degrees
Element x y z (fractional)
Cs: 0.0000 0.0000 0.0000
Ba: 0.0000 0.0000 0.5000
Ca: 0.5000 0.5000 0.3011
Ca: 0.5000 0.5000 0.6989

Properties
ΔE to the lowest computed polymorph ... 0.0000 eV/atom
DFT formation energy ... 68 kJ/mol of formula units
Symmetry ... No. 123
Total moment ... 0.00 μB/cell